# 1
! PBE-GGA Na3LaTc, optimized geometry; values from VASP
! Offset from the most stable computed form in meV per atom: 352
! Fermi-level density of states in states/eV per atom: 0.813
! ΔE_f in meV/atom: 387
&SYSTEM
  ibrav = 0, nat = 20, ntyp = 3
/
ATOMIC_SPECIES
Na 22.99 Na.upf
Tc 98.00 Tc.upf
La 138.91 La.upf
CELL_PARAMETERS angstrom
25.875 0.000 0.967
0.000 4.846 0.000
-8.743 0.000 4.049
ATOMIC_POSITIONS angstrom
Na 0.938 3.634 3.078
Na 16.194 1.212 1.937
Na -1.115 1.211 3.479
Na 18.247 3.634 1.537
Na 4.640 1.209 0.481
Na 12.492 3.637 4.535
Na 3.926 3.632 2.027
Na 13.205 1.214 2.989
Na 13.920 3.635 0.982
Na 3.212 1.210 4.034
Na 20.521 1.212 2.493
Na -3.389 3.633 2.523
Tc 23.995 1.211 1.320
Tc -6.863 3.634 3.696
Tc 10.446 3.634 2.155
Tc 6.686 1.212 2.861
La 7.414 3.634 2.397
La 9.718 1.212 2.619
La 1.152 1.211 0.111
La 15.980 3.634 4.905

# 2
! PBE-GGA SmAlSi2, optimized geometry; values from VASP
! Formation energy (no corrections) in eV per atom: -0.331
! Fermi-level density of states in states/eV per atom: 0.452
&SYSTEM
  ibrav = 0, nat = 4, ntyp = 3
/
ATOMIC_SPECIES
Si 28.09 Si.upf
Al 26.98 Al.upf
Sm 150.36 Sm.upf
CELL_PARAMETERS angstrom
4.286 0.000 0.000
2.143 3.712 0.000
2.143 1.237 4.943
ATOMIC_POSITIONS angstrom
Si 2.143 1.237 0.649
Si 6.429 3.712 4.294
Al 0.000 0.000 0.000
Sm 4.286 2.475 2.472

# 3
! PBE-GGA LaDy2TmTl4, optimized geometry; values from VASP
! Fermi-level density of states in states/eV per atom: 0.805
! ΔE_f in meV/atom: -341
&SYSTEM
  ibrav = 0, nat = 8, ntyp = 4
/
ATOMIC_SPECIES
La 138.91 La.upf
Dy 162.50 Dy.upf
Tm 168.93 Tm.upf
Tl 204.38 Tl.upf
CELL_PARAMETERS angstrom
5.416 0.000 0.000
2.708 4.691 0.000
2.708 1.564 8.921
ATOMIC_POSITIONS angstrom
La 0.000 0.000 0.000
Dy 8.125 4.691 6.657
Dy 2.708 1.564 2.264
Tm 5.416 3.127 4.460
Tl 5.416 3.127 7.721
Tl 8.125 4.691 3.413
Tl 2.708 1.564 5.507
Tl 5.416 3.127 1.200

# 4
! PBE-GGA CaCeHo, optimized geometry; values from VASP
! Offset from the most stable computed form in meV per atom: 13
! Fermi-level density of states in states/eV per atom: 2.475
! ΔE_f in meV/atom: 155
&SYSTEM
  ibrav = 0, nat = 3, ntyp = 3
/
ATOMIC_SPECIES
Ca 40.08 Ca.upf
Ho 164.93 Ho.upf
Ce 140.12 Ce.upf
CELL_PARAMETERS angstrom
-0.957 3.368 0.676
-0.749 -0.889 3.371
8.340 0.464 0.089
ATOMIC_POSITIONS angstrom
Ca 0.006 0.001 0.002
Ho 1.785 1.839 2.767
Ce 4.844 1.102 1.366

# 5
! PBE-GGA RbMg2SiRu, optimized geometry; values from VASP
! Formation energy (no corrections) in eV per atom: -0.041
! Fermi-level density of states in states/eV per atom: 0.385
&SYSTEM
  ibrav = 0, nat = 5, ntyp = 4
/
ATOMIC_SPECIES
Ru 101.07 Ru.upf
Si 28.09 Si.upf
Mg 24.30 Mg.upf
Rb 85.47 Rb.upf
CELL_PARAMETERS angstrom
5.185 0.000 0.000
0.000 5.185 0.000
0.000 0.000 4.648
ATOMIC_POSITIONS angstrom
Ru 0.000 0.000 0.000
Si 0.000 0.000 2.324
Mg 0.000 2.593 0.000
Mg 2.593 0.000 0.000
Rb 2.593 2.593 2.324

# 6
! PBE-GGA CsLiRu2Au, optimized geometry; values from VASP
! Fermi-level density of states in states/eV per atom: 1.205
! ΔE_f in meV/atom: 1332
&SYSTEM
  ibrav = 0, nat = 5, ntyp = 4
/
ATOMIC_SPECIES
Cs 132.91 Cs.upf
Ru 101.07 Ru.upf
Au 196.97 Au.upf
Li 6.94 Li.upf
CELL_PARAMETERS angstrom
4.672 0.000 0.000
0.000 4.791 0.000
0.000 0.000 4.672
ATOMIC_POSITIONS angstrom
Cs 2.336 2.395 2.336
Ru 0.000 0.000 2.336
Ru 2.336 0.000 0.000
Au 0.000 2.395 0.000
Li 0.000 0.000 0.000

# 7
! PBE-GGA CaSc3Be, optimized geometry; values from VASP
! Offset from the most stable computed form in meV per atom: 0
! Fermi-level density of states in states/eV per atom: 2.588
! ΔE_f in meV/atom: 251
&SYSTEM
  ibrav = 0, nat = 5, ntyp = 3
/
ATOMIC_SPECIES
Sc 44.96 Sc.upf
Be 9.01 Be.upf
Ca 40.08 Ca.upf
CELL_PARAMETERS angstrom
-5.033 -0.027 0.309
0.297 -1.867 4.675
0.089 4.685 1.865
ATOMIC_POSITIONS angstrom
Sc 0.149 -0.933 2.338
Sc 0.045 2.342 0.932
Sc -2.517 -0.014 0.155
Be 0.000 0.000 0.000
Ca -2.324 1.395 3.425

# 8
! PBE-GGA TaTlCr2, optimized geometry; values from VASP
! Offset from the most stable computed form in meV per atom: 213
! Fermi-level density of states in states/eV per atom: 0.837
! ΔE_f in meV/atom: 593
&SYSTEM
  ibrav = 0, nat = 4, ntyp = 3
/
ATOMIC_SPECIES
Cr 52.00 Cr.upf
Ta 180.95 Ta.upf
Tl 204.38 Tl.upf
CELL_PARAMETERS angstrom
-5.006 -0.033 1.463
-1.083 -2.636 4.368
3.465 3.628 -1.427
ATOMIC_POSITIONS angstrom
Cr 0.000 0.000 0.000
Cr -0.332 -0.171 2.928
Ta -3.045 -1.334 2.916
Tl -2.293 1.131 1.476